one | Entry from the Alexandria database: crystalline CuH2Ir at its relaxed geometry (PBE).

Calculated values
total magnetization: 0.000 μB/atom
D(E_F): 1.04 states/eV/f.u.

```
CuH2Ir
1.0
-0.839 -2.493 -1.100
0.825 -0.750 -2.624
4.016 -3.268 0.649
Ir Cu H
1 1 2
direct
0.669 0.669 0.992
0.491 0.491 0.526
0.273 0.273 0.181
0.066 0.066 0.802
```

***

two | Entry from the Alexandria database: crystalline CuH2Ir at its relaxed geometry (PBE).

Calculated values
total magnetization: 0.000 μB/atom
D(E_F): 1.21 states/eV/f.u.

```
CuH2Ir
1.0
-3.122 0.106 2.573
-1.830 -2.936 -2.099
-0.572 -4.339 2.667
H Cu Ir
4 2 2
direct
0.119 0.625 0.250
0.875 0.881 0.750
0.631 0.125 0.250
0.375 0.369 0.750
0.500 0.500 0.000
0.250 0.750 0.500
0.000 0.000 0.000
0.750 0.250 0.500
```

***

three | Entry from the Alexandria database: crystalline CuH2Ir at its relaxed geometry (PBE).

Calculated values
total magnetization: 0.000 μB/atom
D(E_F): 1.51 states/eV/f.u.

```
CuH2Ir
1.0
-2.595 0.533 1.242
-2.382 0.326 -1.668
-2.510 -4.505 0.137
H Cu Ir
2 1 1
direct
0.885 0.885 0.345
0.115 0.115 0.655
0.000 0.000 0.000
0.500 0.500 0.500
```

***

Most stable: two (next structure +7 meV per atom)

***

one | Entry from the Alexandria database: crystalline CuH2Ir2 at its relaxed geometry (PBE).

Calculated values
total magnetization: 0.000 μB/atom
D(E_F): 4.20 states/eV/f.u.

```
CuH2Ir2
1.0
5.286 0.000 0.000
0.000 5.286 0.000
0.000 0.000 3.551
Ir H Cu
4 4 2
direct
0.817 0.317 0.500
0.683 0.817 0.500
0.183 0.683 0.500
0.317 0.183 0.500
0.863 0.363 0.000
0.137 0.637 0.000
0.637 0.863 0.000
0.363 0.137 0.000
0.500 0.500 0.000
0.000 0.000 0.000
```

***

two | Entry from the Alexandria database: crystalline CuH2Ir2 at its relaxed geometry (PBE).

Calculated values
total magnetization: 0.000 μB/atom
D(E_F): 5.31 states/eV/f.u.

```
CuH2Ir2
1.0
3.019 0.000 0.000
0.000 3.019 0.000
1.509 1.509 5.267
Cu H Ir
1 2 2
direct
0.000 0.000 0.000
0.250 0.750 0.500
0.750 0.250 0.500
0.359 0.359 0.281
0.641 0.641 0.719
```

***

Most stable: one (next structure +96 meV per atom)

***

one | Entry from the Alexandria database: crystalline CuHIr2 at its relaxed geometry (PBE).

Calculated values
total magnetization: 0.000 μB/atom
D(E_F): 2.56 states/eV/f.u.

```
CuHIr2
1.0
6.064 0.000 0.000
0.000 6.064 0.000
3.032 3.032 2.476
Cu Ir H
2 4 2
direct
0.000 0.000 0.000
0.750 0.250 0.500
0.219 0.625 0.250
0.875 0.781 0.750
0.375 0.469 0.750
0.531 0.125 0.250
0.250 0.750 0.500
0.500 0.500 0.000
```

***

two | Entry from the Alexandria database: crystalline CuHIr2 at its relaxed geometry (PBE).

Calculated values
total magnetization: 0.000 μB/atom
D(E_F): 4.45 states/eV/f.u.

```
CuHIr2
1.0
3.058 0.857 2.511
0.609 3.811 1.221
-0.763 1.043 3.837
Ir H Cu
2 1 1
direct
0.250 0.250 0.250
0.750 0.750 0.750
0.000 0.000 0.000
0.500 0.500 0.500
```

***

Most stable: one (next structure +391 meV per atom)

***

one | Entry from the Alexandria database: crystalline Cu3HIr at its relaxed geometry (PBE).

Calculated values
total magnetization: 0.000 μB/atom
D(E_F): 2.95 states/eV/f.u.

```
Cu3HIr
1.0
-1.842 -2.921 -1.471
2.791 -0.524 -2.454
1.704 -2.298 2.429
Ir Cu H
1 3 1
direct
0.500 0.500 0.500
0.500 0.000 0.000
0.000 0.000 0.500
0.000 0.500 0.000
0.000 0.000 0.000
```

***

two | Entry from the Alexandria database: crystalline Cu3HIr at its relaxed geometry (PBE).

Calculated values
total magnetization: 0.235 μB/atom
D(E_F): 6.50 states/eV/f.u.

```
Cu3HIr
1.0
4.711 0.000 0.000
0.000 4.711 0.000
0.000 0.000 4.711
Ir H Cu
1 1 3
direct
0.000 0.000 0.000
0.500 0.500 0.500
0.500 0.000 0.000
0.000 0.000 0.500
0.000 0.500 0.000
```

***

Most stable: one (next structure +1348 meV per atom)